! Y3Ag3TeS8 PBE relaxed; values from VASP
&SYSTEM
  ibrav = 0, nat = 15, ntyp = 4
/
ATOMIC_SPECIES
Y 88.91 Y.upf
Ag 107.87 Ag.upf
Te 127.60 Te.upf
S 32.06 S.upf
ATOMIC_POSITIONS crystal
Y 0.500 0.000 0.500
Y 0.500 0.500 0.500
Y 0.000 0.500 0.500
Ag 0.000 0.000 0.000
Ag 0.000 0.500 0.000
Ag 0.500 0.500 0.000
Te 0.000 0.000 0.500
S 0.254 0.508 0.264
S 0.746 0.492 0.736
S 0.760 0.520 0.265
S 0.240 0.480 0.735
S 0.760 0.003 0.265
S 0.240 0.997 0.735
S 0.243 0.003 0.265
S 0.757 0.997 0.735
CELL_PARAMETERS angstrom
-4.462 -6.451 -1.476
7.486 -0.842 2.632
-5.598 2.807 4.658
! Formation energy (no corrections) (eV per atom): -1.011
! Space group: C2/m, No. 12

---

! Tm12ScPb7 PBE relaxed; values from VASP
&SYSTEM
  ibrav = 0, nat = 20, ntyp = 3
/
ATOMIC_SPECIES
Tm 168.93 Tm.upf
Sc 44.96 Sc.upf
Pb 207.20 Pb.upf
ATOMIC_POSITIONS crystal
Tm 0.000 0.279 0.720
Tm 0.721 0.280 0.000
Tm 0.508 0.173 0.508
Tm 0.827 0.492 0.492
Tm 0.280 0.000 0.721
Tm 0.492 0.492 0.827
Tm 0.508 0.508 0.173
Tm 0.720 0.000 0.279
Tm 0.173 0.508 0.508
Tm 0.492 0.827 0.492
Tm 0.279 0.720 0.000
Tm 0.000 0.721 0.280
Sc 0.000 0.000 0.000
Pb 0.871 0.572 0.871
Pb 0.428 0.129 0.129
Pb 0.129 0.129 0.428
Pb 0.500 0.500 0.500
Pb 0.871 0.871 0.572
Pb 0.572 0.871 0.871
Pb 0.129 0.428 0.129
CELL_PARAMETERS angstrom
9.225 -0.344 -0.517
-2.896 8.765 -0.517
-2.896 -3.853 7.890
! ΔE_f (eV per atom): -0.19
! Space group: R-3m, No. 166

---

! YOs2F PBE relaxed; values from VASP
&SYSTEM
  ibrav = 0, nat = 8, ntyp = 3
/
ATOMIC_SPECIES
Y 88.91 Y.upf
Os 190.23 Os.upf
F 19.00 F.upf
ATOMIC_POSITIONS crystal
Y 0.000 0.000 0.000
Y 0.750 0.250 0.500
Os 0.426 0.125 0.250
Os 0.324 0.625 0.250
Os 0.375 0.574 0.750
Os 0.875 0.676 0.750
F 0.500 0.500 0.000
F 0.250 0.750 0.500
CELL_PARAMETERS angstrom
4.638 0.000 0.000
0.000 4.638 0.000
2.319 2.319 7.858
! Formation energy (no corrections) (eV per atom): 0.546
! Energy relative to the lowest polymorph listed for this composition (eV per formula unit): 0.000
! Space group: I-42d, No. 122

---

! LaMgTe2 PBE relaxed; values from VASP
&SYSTEM
  ibrav = 0, nat = 4, ntyp = 3
/
ATOMIC_SPECIES
La 138.91 La.upf
Mg 24.30 Mg.upf
Te 127.60 Te.upf
ATOMIC_POSITIONS crystal
La 0.500 0.500 0.250
Mg 0.500 0.500 0.750
Te 0.000 0.000 0.997
Te 0.000 0.000 0.503
CELL_PARAMETERS angstrom
3.925 -0.008 0.000
0.014 3.925 0.000
0.000 0.000 7.565
! Formation energy (no corrections) (eV per atom): -0.982
! Space group: Cmmm, No. 65

---

! ZrBeCo PBE relaxed; values from VASP
&SYSTEM
  ibrav = 0, nat = 18, ntyp = 3
/
ATOMIC_SPECIES
Zr 91.22 Zr.upf
Be 9.01 Be.upf
Co 58.93 Co.upf
ATOMIC_POSITIONS crystal
Zr 0.754 0.045 0.589
Zr 0.164 0.955 0.411
Zr 0.342 0.750 0.000
Zr 0.342 0.250 0.000
Zr 0.164 0.455 0.410
Zr 0.754 0.545 0.590
Be 0.990 0.000 0.000
Be 0.990 0.500 0.000
Be 0.516 0.381 0.762
Be 0.754 0.619 0.238
Be 0.754 0.119 0.238
Be 0.516 0.881 0.762
Co 0.752 0.250 0.000
Co 0.753 0.750 0.000
Co 0.420 0.167 0.333
Co 0.087 0.833 0.667
Co 0.087 0.333 0.667
Co 0.420 0.667 0.333
CELL_PARAMETERS angstrom
-6.171 -0.118 -2.045
-1.660 -4.009 5.241
2.792 6.615 1.529
! ΔE_f (eV per atom): -0.26
! Energy relative to the lowest polymorph listed for this composition (eV per formula unit): 0.222
! Space group: Amm2, No. 38

---

! LaZr3B PBE relaxed; values from VASP
&SYSTEM
  ibrav = 0, nat = 5, ntyp = 3
/
ATOMIC_SPECIES
B 10.81 B.upf
Zr 91.22 Zr.upf
La 138.91 La.upf
ATOMIC_POSITIONS crystal
B 0.500 0.500 0.500
Zr 0.000 0.500 0.000
Zr 0.000 0.000 0.500
Zr 0.500 0.000 0.000
La 0.000 0.000 0.000
CELL_PARAMETERS angstrom
5.074 0.000 0.000
0.000 5.074 0.000
0.000 0.000 5.074
! ΔE_f (eV per atom): 2.10
! Energy relative to the lowest polymorph listed for this composition (eV per formula unit): 10.256
! Space group: Pm-3m, No. 221